No. 1
# LiYTl (PBE, optimized geometry)
# Space-group type: I4mm (107)
# Calculated formation energy, eV/atom: -0.159
# N(E_F), states/eV per atom: 1.03
data_LiYTl
_chemical_formula_sum 'Li2 Y2 Tl2'
_cell_length_a 3.625
_cell_length_b 3.625
_cell_length_c 11.196
_cell_angle_alpha 90.00
_cell_angle_beta 90.00
_cell_angle_gamma 90.00
_space_group_name_H-M_alt 'P 1'
_space_group_IT_number 1
loop_
_space_group_symop_operation_xyz
'x,y,z'
loop_
_atom_site_label
_atom_site_fract_x
_atom_site_fract_y
_atom_site_fract_z
Li1 0.000 0.000 0.000
Li2 0.500 0.500 0.500
Y1 0.000 0.000 0.693
Y2 0.500 0.500 0.193
Tl1 0.000 0.000 0.381
Tl2 0.500 0.500 0.881

***

No. 2
# YScCo (PBE, optimized geometry)
# Space-group type: F-43m (216)
# Calculated formation energy, eV/atom: -0.050
# N(E_F), states/eV per atom: 1.19
data_YScCo
_chemical_formula_sum 'Y4 Sc4 Co4'
_cell_length_a 6.432
_cell_length_b 6.432
_cell_length_c 6.432
_cell_angle_alpha 90.00
_cell_angle_beta 90.00
_cell_angle_gamma 90.00
_space_group_name_H-M_alt 'P 1'
_space_group_IT_number 1
loop_
_space_group_symop_operation_xyz
'x,y,z'
loop_
_atom_site_label
_atom_site_fract_x
_atom_site_fract_y
_atom_site_fract_z
Y1 0.000 0.000 0.000
Y2 0.000 0.500 0.500
Y3 0.500 0.000 0.500
Y4 0.500 0.500 0.000
Sc1 0.000 0.000 0.500
Sc2 0.000 0.500 0.000
Sc3 0.500 0.000 0.000
Sc4 0.500 0.500 0.500
Co1 0.250 0.250 0.750
Co2 0.250 0.750 0.250
Co3 0.750 0.250 0.250
Co4 0.750 0.750 0.750

***

Number 1: total magnetization 1.0 μB/cell. Number 2: total magnetization 0.0 μB/cell.